## Pr6WO12 (PBE+U)

Data for a relaxed structure of Pr6WO12.

The total DFT energy (no corrections) comes out at -8.15 eV/atom.

Unit cell a=10.2914 b=10.2914 c=9.8699 alpha=90.00 beta=90.00 gamma=120.00
Last column: nearest neighbours and their distance in Å.
Space group R-3 (No. 148, hexagonal axes)
Inequivalent atoms, fractional coordinates:
1 Pr 0.0457 0.2561 0.1453  6 O 2.33-2.58
2 W 0.0000 0.0000 0.5000  6 O 1.98
3 O 0.0366 0.2259 0.9032  4 Pr 2.33-2.41
4 O 0.0383 0.1779 0.3916  1 W 1.98